The following is a DFT calculation (GGA-PBE) of a relaxed Ho6As3PS2 crystal.

Formation energy (no corrections) ... -1.73 eV/atom
M_tot ... 0.000 μB per formula unit

```
data_Ho6As3PS2
_space_group_name_H-M_alt 'C 1 2/m 1'
_space_group_IT_number 12
_space_group_name_Hall '-C 2y'
_cell_length_a 17.494
_cell_length_b 4.021
_cell_length_c 8.016
_cell_angle_alpha 90.00
_cell_angle_beta 103.12
_cell_angle_gamma 90.00
loop_
_atom_site_label
_atom_site_type_symbol
_atom_site_fract_x
_atom_site_fract_y
_atom_site_fract_z
Ho1 Ho 0.000 0.000 0.244
Ho2 Ho 0.164 0.500 0.082
Ho3 Ho 0.166 0.500 0.583
As1 As 0.000 0.500 0.500
As2 As 0.168 0.000 0.833
P1 P 0.000 0.500 0.000
S1 S 0.168 0.000 0.335
```



The following is a DFT calculation (GGA-PBE) of a relaxed Ho6AsP2S3 crystal.

Formation energy (no corrections) ... -1.84 eV/atom
M_tot ... 0.000 μB per formula unit

```
data_Ho6AsP2S3
_space_group_name_H-M_alt 'C 1 2/m 1'
_space_group_IT_number 12
_space_group_name_Hall '-C 2y'
_cell_length_a 17.270
_cell_length_b 3.962
_cell_length_c 7.915
_cell_angle_alpha 90.00
_cell_angle_beta 103.19
_cell_angle_gamma 90.00
loop_
_atom_site_label
_atom_site_type_symbol
_atom_site_fract_x
_atom_site_fract_y
_atom_site_fract_z
Ho1 Ho 0.003 0.000 0.254
Ho2 Ho 0.168 0.500 0.092
Ho3 Ho 0.169 0.500 0.578
As1 As 0.000 0.500 0.000
P1 P 0.167 0.000 0.334
S1 S 0.000 0.500 0.500
S2 S 0.166 0.000 0.833
```



The following is a DFT calculation (GGA-PBE) of a relaxed Ho8As3P3S crystal.

Formation energy (no corrections) ... -1.52 eV/atom
M_tot ... 0.000 μB per formula unit

```
data_Ho8As3P3S
_space_group_name_H-M_alt 'R -3 m'
_space_group_IT_number 166
_space_group_name_Hall '-R 3 2"'
_cell_length_a 7.9844
_cell_length_b 7.9844
_cell_length_c 19.6382
_cell_angle_alpha 90.00
_cell_angle_beta 90.00
_cell_angle_gamma 120.00
loop_
_atom_site_label
_atom_site_type_symbol
_atom_site_fract_x
_atom_site_fract_y
_atom_site_fract_z
Ho1 Ho 0.0000 0.0000 0.2474
Ho2 Ho 0.0023 0.5011 0.7523
As1 As 0.0000 0.5000 0.0000
P1 P 0.0000 0.5000 0.5000
S1 S 0.0000 0.0000 0.5000
```



The following is a DFT calculation (GGA-PBE) of a relaxed Ho8As3PS3 crystal.

Formation energy (no corrections) ... -1.63 eV/atom
M_tot ... 0.000 μB per formula unit

```
data_Ho8As3PS3
_space_group_name_H-M_alt 'R -3 m'
_space_group_IT_number 166
_space_group_name_Hall '-R 3 2"'
_cell_length_a 7.9373
_cell_length_b 7.9373
_cell_length_c 19.5567
_cell_angle_alpha 90.00
_cell_angle_beta 90.00
_cell_angle_gamma 120.00
loop_
_atom_site_label
_atom_site_type_symbol
_atom_site_fract_x
_atom_site_fract_y
_atom_site_fract_z
Ho1 Ho 0.0000 0.0000 0.2494
Ho2 Ho 0.0041 0.5020 0.2475
As1 As 0.0000 0.5000 0.0000
P1 P 0.0000 0.0000 0.5000
S1 S 0.0000 0.5000 0.5000
```